VASP calculation (PBE with a Hubbard U) on crystalline CdFe5O6 at its relaxed geometry.

a b c (Å): 5.4471 5.4686 5.5030
angles (deg): 60.21 80.44 70.47
Closest atoms and distances in Å follow each position.
Fractional coordinates of all 12 atoms:
Cd (0.0000, 0.0000, 0.0000)  6 O 2.29-2.36
Fe (0.5000, 0.1653, 0.6693)  6 O 2.14-2.35
Fe (0.0000, 0.3337, 0.3326)  6 O 2.12-2.30
Fe (0.5000, 0.5000, 0.0000)  6 O 2.17-2.21
Fe (0.0000, 0.6663, 0.6674)  6 O 2.12-2.30
Fe (0.5000, 0.8347, 0.3307)  6 O 2.14-2.35
O (0.7457, 0.1080, 0.3446)  5 Fe 2.12-2.35, 1 Cd 2.36
O (0.2543, 0.5474, 0.3446)  5 Fe 2.12-2.35, 1 Cd 2.36
O (0.2703, 0.2432, 0.0000)  5 Fe 2.17-2.30, 1 Cd 2.29
O (0.7297, 0.7568, 0.0000)  5 Fe 2.17-2.30, 1 Cd 2.29
O (0.7457, 0.4526, 0.6554)  5 Fe 2.12-2.35, 1 Cd 2.36
O (0.2543, 0.8920, 0.6554)  5 Fe 2.12-2.35, 1 Cd 2.36

Results
Its total energy is -74.2 eV for the cell shown. The magnetization is 20.05 μB per formula unit. The calculation puts the calculated volume at 11.17 Å³/atom.